Entry 1:
Bi2BPPb, relaxed, DFT GGA-PBE; VASP energy = -14.089 eV/cell; magnetic moment = 0.0 μB per formula unit; symmetry = P4/mmm
1.0
5.960 0.000 0.000
0.000 5.125 0.000
0.000 0.000 5.960
Pb P B Bi
1 1 1 2
Direct
0.000 0.000 0.000
0.000 0.500 0.000
0.500 0.500 0.500
0.000 0.000 0.500
0.500 0.000 0.000



Entry 2:
Y6Tl5Cd, relaxed, DFT GGA-PBE; VASP energy = -56.094 eV/cell; magnetic moment = 0.0 μB per formula unit; symmetry = Cmmm
1.0
-2.674 -2.156 4.133
-3.530 -4.674 -4.723
4.555 -6.514 3.043
Y Tl Cd
6 5 1
Direct
0.833 0.752 0.333
0.833 0.248 0.333
0.500 0.250 0.000
0.500 0.750 0.000
0.167 0.752 0.667
0.167 0.248 0.667
0.667 0.500 0.666
0.337 0.000 0.326
0.000 0.500 0.000
0.663 0.000 0.674
0.333 0.500 0.334
0.000 0.000 0.000



Entry 3:
Sm2UPaP4, relaxed, DFT GGA-PBE; VASP energy = -62.673 eV/cell; magnetic moment = 2.5 μB per formula unit; symmetry = P2/m
1.0
4.012 0.000 0.000
0.000 6.949 0.120
0.000 -2.430 6.580
Sm U Pa P
2 1 1 4
Direct
0.500 0.000 0.500
0.000 0.500 0.500
0.000 0.000 0.000
0.500 0.500 0.000
0.500 0.245 0.237
0.500 0.755 0.763
0.000 0.253 0.762
0.000 0.747 0.238



Entry 4:
ZrSe4Br, relaxed, DFT GGA-PBE; VASP energy = -22.984 eV/cell; magnetic moment = 0.5 μB per formula unit; symmetry = F-43m
1.0
-3.585 -2.402 -3.709
-4.959 2.518 -1.202
-0.822 2.372 -5.106
Zr Se Br
1 4 1
Direct
0.750 0.750 0.750
0.872 0.376 0.376
0.376 0.376 0.872
0.376 0.872 0.376
0.376 0.376 0.376
0.000 0.000 0.000